The following is a DFT calculation (PBE) of crystalline CeCdAu2 at its relaxed geometry.

```
CeCdAu2
1.0
3.5105 0.0000 0.0000
0.0000 3.5105 0.0000
0.0000 0.0000 7.2246
Ce Cd Au
1 1 2
Cartesian
0.0000 0.0000 0.0000
0.0000 0.0000 3.6123
1.7553 1.7553 1.9388
1.7553 1.7553 5.2858
```

SG: P4/mmm (123)
DFT formation energy (eV/atom): -0.468
Electronic total energy (eV/atom): -3.819
D(E_F) (states/eV per cell): 6.524

The following is a DFT calculation (PBE) of crystalline Ce2CdAu at its relaxed geometry.

```
Ce2CdAu
1.0
3.9370 0.0000 0.0000
0.0000 3.9370 0.0000
0.0000 0.0000 6.7488
Ce Cd Au
2 1 1
Cartesian
0.0000 0.0000 1.4671
0.0000 0.0000 5.2818
1.9685 1.9685 3.3744
1.9685 1.9685 0.0000
```

SG: P4/mmm (123)
DFT formation energy (eV/atom): -0.361
Electronic total energy (eV/atom): -4.376
E above lowest polymorph (meV per atom): 0
D(E_F) (states/eV per cell): 11.055

The following is a DFT calculation (PBE) of crystalline CeCd3Au3 at its relaxed geometry.

```
CeCd3Au3
1.0
4.1502 2.3961 5.7063
-4.1502 2.3961 5.7063
0.0000 -4.7923 5.7063
Ce Cd Au
2 6 6
Cartesian
0.0000 0.0000 2.8391
0.0000 0.0000 14.2800
-2.7759 0.0285 6.4353
-1.4126 -2.3898 10.6837
1.3633 -2.4182 6.4353
-1.3633 2.4182 10.6838
1.4126 2.3898 6.4353
2.7759 -0.0285 10.6838
-1.2279 -2.0866 7.7491
-2.4210 0.0201 9.3699
-1.1931 2.1067 7.7491
1.1931 -2.1067 9.3699
2.4210 -0.0201 7.7491
1.2279 2.0866 9.3699
```

SG: R-3 (148)
DFT formation energy (eV/atom): -0.294
Electronic total energy (eV/atom): -2.939
E above lowest polymorph (meV per atom): 60
D(E_F) (states/eV per cell): 16.449

The following is a DFT calculation (PBE) of crystalline Ce3Cd2Au4 at its relaxed geometry.

```
Ce3Cd2Au4
1.0
5.4538 -2.4425 0.0000
5.4538 2.4425 0.0000
-4.7095 0.0000 7.7894
Ce Cd Au
3 2 4
Cartesian
0.0000 0.0000 0.0000
2.2392 0.0000 2.5120
3.9589 0.0000 5.2774
0.7151 0.0000 5.4760
5.4830 0.0000 2.3134
-1.1756 0.0000 3.0636
-1.3986 0.0000 7.3334
7.5967 0.0000 0.4560
7.3737 0.0000 4.7258
```

SG: C2/m (12)
DFT formation energy (eV/atom): -0.574
Electronic total energy (eV/atom): -4.212
D(E_F) (states/eV per cell): 17.286